## Dy5Mg (SCAN)

Data for Dy5Mg at its PBEsol-relaxed geometry.

SG ... No. 155
Excess energy over the best structure of this formula in the dataset ... 0.000 eV per atom
E_form ... 0.004 eV/atom

abc: 6.0174 6.0174 6.4704
angles: 62.29 62.29 60.00
Last column: nearest neighbours and their distance in Å.
Element x y z (fractional)
Mg (0.0000, 0.0000, 0.0000)  12 Dy 3.37-3.47
Dy (0.5000, 0.8415, 0.5000)  10 Dy 3.37-3.56, 2 Mg 3.37
Dy (0.1585, 0.5000, 0.5000)  10 Dy 3.37-3.56, 2 Mg 3.37
Dy (0.8415, 0.1585, 0.5000)  10 Dy 3.37-3.56, 2 Mg 3.37
Dy (0.3331, 0.3331, 0.0007)  9 Dy 3.37-3.47, 3 Mg 3.47
Dy (0.6669, 0.6669, 0.9993)  9 Dy 3.37-3.47, 3 Mg 3.47